Entry 1:
VASP calculation (GGA-PBE) on a geometry-optimized Hf2GaCo structure.

## Properties
Volume = 218.08 Å³/cell
Magnetization = 0.00 μB per cell
Formation enthalpy at 0 K = -0.2068 eV per atom

Geometry as CIF:
```
data_Hf2GaCo
_chemical_formula_sum 'Hf6 Ga3 Co3'
_cell_length_a 4.1695
_cell_length_b 4.1695
_cell_length_c 14.4840
_cell_angle_alpha 90.00
_cell_angle_beta 90.00
_cell_angle_gamma 120.00
_space_group_name_H-M_alt 'R 3 m'
_space_group_IT_number 160
_space_group_name_Hall 'R 3 -2"'
loop_
_atom_site_label
_atom_site_fract_x
_atom_site_fract_y
_atom_site_fract_z
Hf1 0.0000 0.0000 0.0000
Hf2 0.0000 0.0000 0.1991
Ga1 0.0000 0.0000 0.4228
Co1 0.0000 0.0000 0.7900
```

=====

Entry 2:
VASP calculation (GGA-PBE) on a geometry-optimized Al2CoS structure.

## Properties
Volume = 240.02 Å³/cell
Calculated total energy = -74.87 eV per cell
Magnetization = 0.00 μB per cell

Geometry as CIF:
```
data_Al2CoS
_chemical_formula_sum 'Al8 Co4 S4'
_cell_length_a 6.6280
_cell_length_b 6.6280
_cell_length_c 5.4637
_cell_angle_alpha 90.00
_cell_angle_beta 90.00
_cell_angle_gamma 90.00
_space_group_name_H-M_alt 'I -4 2 d'
_space_group_IT_number 122
_space_group_name_Hall 'I -4 2bw'
loop_
_atom_site_label
_atom_site_fract_x
_atom_site_fract_y
_atom_site_fract_z
Al1 0.2456 0.2500 0.1250
Co1 0.0000 0.0000 0.5000
S1 0.0000 0.0000 0.0000
```

=====

Entry 3:
VASP calculation (GGA-PBE) on a geometry-optimized K3LiIn3I8 structure.

## Properties
Volume = 1335.15 Å³/cell
Calculated total energy = -78.91 eV per cell
Magnetization = 0.00 μB per cell

Geometry as CIF:
```
data_K3LiIn3I8
_chemical_formula_sum 'K6 Li2 In6 I16'
_cell_length_a 16.7191
_cell_length_b 10.1398
_cell_length_c 9.4007
_cell_angle_alpha 90.00
_cell_angle_beta 123.09
_cell_angle_gamma 90.00
_space_group_name_H-M_alt 'C 1 2/m 1'
_space_group_IT_number 12
loop_
_space_group_symop_operation_xyz
'x,y,z'
'-x,-y,-z'
'-x,y,-z'
'x,-y,z'
'x+1/2,y+1/2,z'
'-x+1/2,-y+1/2,-z'
'-x+1/2,y+1/2,-z'
'x+1/2,-y+1/2,z'
loop_
_atom_site_label
_atom_site_fract_x
_atom_site_fract_y
_atom_site_fract_z
K1 0.0000 0.0000 0.0000
K2 0.2500 0.2500 0.5000
Li1 0.0000 0.5000 0.0000
In1 0.0000 0.5000 0.5000
In2 0.2500 0.2500 0.0000
I1 0.0010 0.2865 0.7483
I2 0.2116 0.5000 0.2090
I3 0.2369 0.5000 0.7356
```

=====

Entry 4:
VASP calculation (GGA-PBE) on a geometry-optimized MgBe2V structure.

## Properties
Volume = 101.55 Å³/cell
Magnetization = 0.00 μB per cell
Formation enthalpy at 0 K = 0.0778 eV per atom

Geometry as CIF:
```
data_MgBe2V
_chemical_formula_sum 'Mg2 Be4 V2'
_cell_length_a 4.8428
_cell_length_b 3.6804
_cell_length_c 5.9066
_cell_angle_alpha 90.00
_cell_angle_beta 105.30
_cell_angle_gamma 90.00
_space_group_name_H-M_alt 'P 1 21/m 1'
_space_group_IT_number 11
loop_
_space_group_symop_operation_xyz
'x,y,z'
'-x,-y,-z'
'-x,y+1/2,-z'
'x,-y+1/2,z'
loop_
_atom_site_label
_atom_site_fract_x
_atom_site_fract_y
_atom_site_fract_z
Mg1 0.2041 0.2500 0.4270
Be1 0.3655 0.7500 0.7875
Be2 0.3871 0.7500 0.1704
V1 0.1490 0.2500 0.9381
```

=====

Entry 5:
VASP calculation (GGA-PBE) on a geometry-optimized YEr2Br structure.

## Properties
Volume = 348.05 Å³/cell
Calculated total energy = -57.79 eV per cell
Magnetization = 0.03 μB per cell

Geometry as CIF:
```
data_YEr2Br
_chemical_formula_sum 'Y3 Er6 Br3'
_cell_length_a 3.6333
_cell_length_b 3.6333
_cell_length_c 30.4454
_cell_angle_alpha 90.00
_cell_angle_beta 90.00
_cell_angle_gamma 120.00
_space_group_name_H-M_alt 'R -3 m'
_space_group_IT_number 166
_space_group_name_Hall '-R 3 2"'
loop_
_atom_site_label
_atom_site_fract_x
_atom_site_fract_y
_atom_site_fract_z
Y1 0.0000 0.0000 0.0000
Er1 0.0000 0.0000 0.2426
Br1 0.0000 0.0000 0.5000
```

=====

Entry 6:
VASP calculation (GGA-PBE) on a geometry-optimized AcLaH2 structure.

## Properties
Volume = 270.15 Å³/cell
Magnetization = 0.00 μB per cell
ΔE to the lowest computed polymorph = 0.0 meV per atom

Geometry as CIF:
```
data_AcLaH2
_chemical_formula_sum 'Ac3 La3 H6'
_cell_length_a 3.9891
_cell_length_b 3.9891
_cell_length_c 19.6032
_cell_angle_alpha 90.00
_cell_angle_beta 90.00
_cell_angle_gamma 120.00
_space_group_name_H-M_alt 'R -3 m'
_space_group_IT_number 166
_space_group_name_Hall '-R 3 2"'
loop_
_atom_site_label
_atom_site_fract_x
_atom_site_fract_y
_atom_site_fract_z
Ac1 0.0000 0.0000 0.0000
La1 0.0000 0.0000 0.5000
H1 0.0000 0.0000 0.1284
```

=====

Entry 7:
VASP calculation (GGA-PBE) on a geometry-optimized TbPuPN structure.

## Properties
Volume = 222.04 Å³/cell
Calculated total energy = -113.77 eV per cell
Magnetization = 14.52 μB per cell

Geometry as CIF:
```
data_TbPuPN
_chemical_formula_sum 'Tb3 Pu3 P3 N3'
_cell_length_a 3.7144
_cell_length_b 3.7144
_cell_length_c 18.5827
_cell_angle_alpha 90.00
_cell_angle_beta 90.00
_cell_angle_gamma 120.00
_space_group_name_H-M_alt 'R 3 m'
_space_group_IT_number 160
_space_group_name_Hall 'R 3 -2"'
loop_
_atom_site_label
_atom_site_fract_x
_atom_site_fract_y
_atom_site_fract_z
Tb1 0.0000 0.0000 0.0000
Pu1 0.0000 0.0000 0.4783
P1 0.0000 0.0000 0.2378
N1 0.0000 0.0000 0.7449
```

=====

Entry 8:
VASP calculation (GGA-PBE) on a geometry-optimized Ce12NiOs6 structure.

## Properties
Volume = 1536.13 Å³/cell
Magnetization = 18.74 μB per cell
Formation enthalpy at 0 K = -0.0790 eV per atom

Geometry as CIF:
```
data_Ce12NiOs6
_chemical_formula_sum 'Ce36 Ni3 Os18'
_cell_length_a 12.3753
_cell_length_b 12.3753
_cell_length_c 11.5820
_cell_angle_alpha 90.00
_cell_angle_beta 90.00
_cell_angle_gamma 120.00
_space_group_name_H-M_alt 'R -3'
_space_group_IT_number 148
_space_group_name_Hall '-R 3'
loop_
_atom_site_label
_atom_site_fract_x
_atom_site_fract_y
_atom_site_fract_z
Ce1 0.0246 0.8155 0.3911
Ce2 0.0349 0.8289 0.8838
Ni1 0.0000 0.0000 0.0000
Os1 0.0481 0.7821 0.6526
```

=====

Entry 9:
VASP calculation (GGA-PBE) on a geometry-optimized Nb2Al2Ni15 structure.

## Properties
Volume = 689.90 Å³/cell
Magnetization = 0.01 μB per cell
Formation enthalpy at 0 K = -0.1347 eV per atom

Geometry as CIF:
```
data_Nb2Al2Ni15
_chemical_formula_sum 'Nb6 Al6 Ni45'
_cell_length_a 8.1091
_cell_length_b 8.1091
_cell_length_c 12.1145
_cell_angle_alpha 90.00
_cell_angle_beta 90.00
_cell_angle_gamma 120.00
_space_group_name_H-M_alt 'R -3 m'
_space_group_IT_number 166
_space_group_name_Hall '-R 3 2"'
loop_
_atom_site_label
_atom_site_fract_x
_atom_site_fract_y
_atom_site_fract_z
Nb1 0.0000 0.0000 0.1387
Al1 0.0000 0.0000 0.3913
Ni1 0.0000 0.3113 0.5000
Ni2 0.0000 0.5000 0.0000
Ni3 0.0060 0.5030 0.6566
```

=====

Entry 10:
VASP calculation (GGA-PBE) on a geometry-optimized KSrSi2 structure.

## Properties
Volume = 261.33 Å³/cell
Magnetization = 0.00 μB per cell
ΔE to the lowest computed polymorph = 59.9 meV per atom

Geometry as CIF:
```
data_KSrSi2
_chemical_formula_sum 'K2 Sr2 Si4'
_cell_length_a 6.9377
_cell_length_b 4.0080
_cell_length_c 9.7024
_cell_angle_alpha 90.00
_cell_angle_beta 104.38
_cell_angle_gamma 90.00
_space_group_name_H-M_alt 'C 1 m 1'
_space_group_IT_number 8
loop_
_space_group_symop_operation_xyz
'x,y,z'
'x,-y,z'
'x+1/2,y+1/2,z'
'x+1/2,-y+1/2,z'
loop_
_atom_site_label
_atom_site_fract_x
_atom_site_fract_y
_atom_site_fract_z
K1 0.0000 0.0000 0.0000
Sr1 0.3044 0.5000 0.4363
Si1 0.0472 0.5000 0.6558
Si2 0.2437 0.0000 0.7414
```

=====

Entry 11:
VASP calculation (GGA-PBE) on a geometry-optimized Sr4Si5 structure.

## Properties
Volume = 549.51 Å³/cell
Calculated total energy = -68.72 eV per cell
Magnetization = 1.40 μB per cell

Geometry as CIF:
```
data_Sr4Si5
_chemical_formula_sum 'Sr8 Si10'
_cell_length_a 11.7472
_cell_length_b 11.7472
_cell_length_c 3.9820
_cell_angle_alpha 90.00
_cell_angle_beta 90.00
_cell_angle_gamma 90.00
_space_group_name_H-M_alt 'I 4/m m m'
_space_group_IT_number 139
_space_group_name_Hall '-I 4 2'
loop_
_atom_site_label
_atom_site_fract_x
_atom_site_fract_y
_atom_site_fract_z
Sr1 0.0000 0.2648 0.0000
Si1 0.0000 0.0000 0.0000
Si2 0.2095 0.2095 0.5000
```

=====

Entry 12:
VASP calculation (GGA-PBE) on a geometry-optimized Ac4GeSb2 structure.

## Properties
Volume = 582.99 Å³/cell
Calculated total energy = -66.30 eV per cell
Magnetization = 0.00 μB per cell

Geometry as CIF:
```
data_Ac4GeSb2
_chemical_formula_sum 'Ac8 Ge2 Sb4'
_cell_length_a 5.8088
_cell_length_b 5.8088
_cell_length_c 17.2782
_cell_angle_alpha 90.00
_cell_angle_beta 90.00
_cell_angle_gamma 90.00
_space_group_name_H-M_alt 'I 4/m m m'
_space_group_IT_number 139
_space_group_name_Hall '-I 4 2'
loop_
_atom_site_label
_atom_site_fract_x
_atom_site_fract_y
_atom_site_fract_z
Ac1 0.0000 0.0000 0.1777
Ac2 0.0000 0.5000 0.0000
Ge1 0.0000 0.0000 0.0000
Sb1 0.0000 0.0000 0.3697
```